MnN | PBE | optimized geometry

Cell lengths 7.8814, 7.8814, 3.1535 Å; angles 90.00, 90.00, 90.00 degrees
Element x y z (fractional)
N 0.0881 0.6649 0.0000
N 0.2546 0.4194 0.5000
N 0.3351 0.0881 0.0000
N 0.9119 0.3351 0.0000
N 0.7454 0.5806 0.5000
N 0.4194 0.7454 0.5000
N 0.6649 0.9119 0.0000
N 0.5806 0.2546 0.5000
Mn 0.2125 0.6512 0.5000
Mn 0.7875 0.3488 0.5000
Mn 0.3488 0.2125 0.5000
Mn 0.6512 0.7875 0.5000
Mn 0.5838 0.1326 0.0000
Mn 0.4162 0.8674 0.0000
Mn 0.1326 0.4162 0.0000
Mn 0.8674 0.5838 0.0000

Values from the calculation:
Total energy: -8.92 eV per atom
Formation energy (no corrections): -0.170 eV per atom
Crystal system: tetragonal